# Al2CoPb PBE relaxed
data_Al2CoPb
_chemical_formula_sum 'Al4 Co2 Pb2'
_space_group_name_H-M_alt 'C 1 2/m 1'
_space_group_IT_number 12
_space_group_name_Hall '-C 2y'
_cell_length_a 5.3333
_cell_length_b 10.1690
_cell_length_c 3.1518
_cell_angle_alpha 90.00
_cell_angle_beta 121.74
_cell_angle_gamma 90.00
loop_
_atom_site_label
_atom_site_type_symbol
_atom_site_fract_x
_atom_site_fract_y
_atom_site_fract_z
Al1 Al 0.2500 0.2500 0.0000
Co1 Co 0.0000 0.0000 0.0000
Pb1 Pb 0.0000 0.5000 0.0000
# - E_form: 401 meV/atom
# - Spin magnetization: 1.4 μB per cell
# - Raw total energy: -4.174 eV per atom

***

# Sr2Li3CdAs4 PBE relaxed
data_Sr2Li3CdAs4
_chemical_formula_sum 'Sr2 Li3 Cd1 As4'
_space_group_name_H-M_alt 'P -4 m 2'
_space_group_IT_number 115
_space_group_name_Hall 'P -4 -2'
_cell_length_a 4.3936
_cell_length_b 4.3936
_cell_length_c 11.0319
_cell_angle_alpha 90.00
_cell_angle_beta 90.00
_cell_angle_gamma 90.00
loop_
_atom_site_label
_atom_site_type_symbol
_atom_site_fract_x
_atom_site_fract_y
_atom_site_fract_z
Sr1 Sr 0.0000 0.5000 0.2353
Li1 Li 0.0000 0.5000 0.8769
Li2 Li 0.5000 0.5000 0.5000
Cd1 Cd 0.0000 0.0000 0.5000
As1 As 0.0000 0.0000 0.0000
As2 As 0.0000 0.5000 0.6498
As3 As 0.5000 0.5000 0.0000
# - E_form: -803 meV/atom
# - Spin magnetization: 0.0 μB per cell
# - Raw total energy: -3.665 eV per atom

***

# TbCe2AgC PBE relaxed
data_TbCe2AgC
_chemical_formula_sum 'Tb1 Ce2 Ag1 C1'
_space_group_name_H-M_alt 'P 4/m m m'
_space_group_IT_number 123
_space_group_name_Hall '-P 4 2'
_cell_length_a 4.9203
_cell_length_b 4.9203
_cell_length_c 4.9685
_cell_angle_alpha 90.00
_cell_angle_beta 90.00
_cell_angle_gamma 90.00
loop_
_atom_site_label
_atom_site_type_symbol
_atom_site_fract_x
_atom_site_fract_y
_atom_site_fract_z
Tb1 Tb 0.0000 0.0000 0.0000
Ce1 Ce 0.0000 0.5000 0.5000
Ag1 Ag 0.5000 0.5000 0.0000
C1 C 0.0000 0.0000 0.5000
# - E_form: -89 meV/atom
# - Spin magnetization: 1.1 μB per cell
# - Raw total energy: -5.804 eV per atom

***

Question: Look up the spin magnetization of the third one.
Answer: 1.1 μB per cell

***

Question: Which value of raw total energy does entry 2 give?
Answer: -3.665 eV per atom

***

Question: Which value of E_form does entry 1 give?
Answer: 401 meV/atom